Run P
{
  "formula": "BaTa2I",
  "functional": "GGA-PBE",
  "state": "optimized geometry",
  "lattice": [[0.000, 3.596, 3.596], [3.596, 0.000, 3.596], [3.596, 3.596, 0.000]],
  "species": ["I", "Ta", "Ta", "Ba"],
  "frac_coords": [[0.000, 0.000, 0.000], [0.750, 0.750, 0.750], [0.250, 0.250, 0.250], [0.500, 0.500, 0.500]],
  "dos_at_fermi_per_ev_atom": 1.65,
  "total_magnetization_mub_per_fu": 0.0
}

Run Q
{
  "formula": "BaTa2I",
  "functional": "GGA-PBE",
  "state": "optimized geometry",
  "lattice": [[4.860, 0.000, 0.000], [0.000, 4.860, 0.000], [2.430, 2.430, 10.631]],
  "species": ["Ba", "Ba", "Ta", "Ta", "Ta", "Ta", "I", "I"],
  "frac_coords": [[0.000, 0.000, 0.000], [0.750, 0.250, 0.500], [0.875, 0.544, 0.750], [0.375, 0.706, 0.750], [0.456, 0.625, 0.250], [0.294, 0.125, 0.250], [0.250, 0.750, 0.500], [0.500, 0.500, 0.000]],
  "dos_at_fermi_per_ev_atom": 0.95,
  "total_magnetization_mub_per_fu": 0.0
}

Relative energies, kJ/mol of atoms: run P 49.7; run Q 0.0.